A plane-wave DFT calculation with PBE with a Hubbard U was carried out for crystalline Ba2Mn5O10 at its relaxed geometry.

a b c (Å): 6.7993 6.7993 9.9935
angles (deg): 91.46 91.46 27.95
Positions (direct):
Ba 0.2411 0.2411 0.1924
Ba 0.7589 0.7589 0.8076
Mn 0.0000 0.0000 0.0000
Mn 0.1502 0.1502 0.4990
Mn 0.4945 0.4945 0.2614
Mn 0.5055 0.5055 0.7386
Mn 0.8498 0.8498 0.5010
O 0.0616 0.0616 0.3428
O 0.0877 0.0877 0.8481
O 0.2748 0.2748 0.6048
O 0.3963 0.3963 0.3981
O 0.4183 0.4183 0.8975
O 0.5817 0.5817 0.1025
O 0.6037 0.6037 0.6019
O 0.7252 0.7252 0.3952
O 0.9123 0.9123 0.1519
O 0.9384 0.9384 0.6572

Space group   C2/m (12)
Electronic total energy   -7.11 eV/atom